No. 1
This record from Alexandria via LeMat-Bulk describes an optimized crystal structure of HoPuMgAl. The functional is GGA-PBE.

Summary:
ΔH_f (0 K) ... -0.0815 eV per atom
Spin magnetization ... 5.9 μB per formula unit
N(E_F) ... 1.678 states/eV per atom

Cell: 7.3376 7.3376 7.3376 Å, 90.00 90.00 90.00°
With the nearest neighbours (Å) after each atom.
Space group F-43m (No. 216)
Inequivalent atoms, fractional coordinates:
Ho  0.0000  0.0000  0.0000 x4  4 Mg 3.18, 4 Al 3.18
Pu  0.0000  0.0000  0.5000 x4  4 Al 3.18, 4 Mg 3.18
Mg  0.2500  0.2500  0.2500 x4  4 Ho 3.18, 4 Pu 3.18
Al  0.2500  0.2500  0.7500 x4  4 Ho 3.18, 4 Pu 3.18

No. 2
This record from Alexandria via LeMat-Bulk describes an optimized crystal structure of BSbSe2. The functional is GGA-PBE.

Summary:
Raw total energy ... -65.34 eV/cell
Spin magnetization ... 0.0 μB per formula unit
N(E_F) ... 0.272 states/eV per atom

Cell: 6.2575 6.2575 9.0202 Å, 90.00 90.00 90.00°
With the nearest neighbours (Å) after each atom.
Space group I-42d (No. 122)
Inequivalent atoms, fractional coordinates:
B  0.0000  0.0000  0.0000 x4  4 Se 2.13
Sb  0.0000  0.0000  0.5000 x4  4 Se 2.94
Se  0.1448  0.2500  0.1250 x8  2 B 2.13

No. 3
This record from Alexandria via LeMat-Bulk describes an optimized crystal structure of SbAs8. The functional is GGA-PBE.

Summary:
Raw total energy ... -74.01 eV/cell
Spin magnetization ... 0.0 μB per formula unit
N(E_F) ... 0.783 states/eV per atom

Cell: 8.8565 8.8565 4.8805 Å, 90.00 90.00 90.00°
With the nearest neighbours (Å) after each atom.
Space group I4/mmm (No. 139)
Inequivalent atoms, fractional coordinates:
Sb  0.0000  0.0000  0.0000 x2  4 As 2.88
As  0.0000  0.3248  0.0000 x8  2 As 2.71, 1 Sb 2.88
As  0.1947  0.1947  0.5000 x8  4 As 2.71-2.81

No. 4
This record from Alexandria via LeMat-Bulk describes an optimized crystal structure of Pm7ScIn4. The functional is GGA-PBE.

Summary:
ΔH_f (0 K) ... -0.1288 eV per atom
Spin magnetization ... 0.0 μB per formula unit
N(E_F) ... 1.130 states/eV per atom

Cell: 14.8016 5.7463 10.4492 Å, 90.00 123.24 90.00°
With the nearest neighbours (Å) after each atom.
Space group C2/m (No. 12)
Inequivalent atoms, fractional coordinates:
Pm  0.0000  0.0000  0.0000 x2  2 Sc 2.87, 4 In 3.03-3.20
Pm  0.0647  0.5000  0.3956 x4  5 In 3.24-3.56, 3 Pm 3.40-3.61
Pm  0.2040  0.5000  0.8826 x4  5 Pm 3.40-3.74, 4 In 3.42-3.57
Pm  0.2304  0.0000  0.6757 x4  4 In 3.04-3.20
Sc  0.0000  0.5000  0.0000 x2  2 Pm 2.87
In  0.0551  0.0000  0.7433 x4  4 Pm 3.04-3.27, 1 In 3.10
In  0.1801  0.0000  0.3365 x4  5 Pm 3.03-3.24, 1 In 3.10

- Which formula does entry 2 have?
  BSbSe2